Compound: GdLuHf
Source: Alexandria via LeMat-Bulk
Functional: PBE-GGA
Structure: relaxed

Cell lengths 3.366, 3.366, 8.359 Å; angles 90.00, 90.00, 120.00 degrees
Site moments in Bohr magnetons follow the coordinates.
Element x y z (fractional)
Lu 0.000 0.000 0.021  0.03
Gd 0.333 0.667 0.648  7.13
Hf 0.667 0.333 0.331  -0.08

Summary:
crystal system = trigonal
V = 82.0 Å³ per cell
calculated formation energy = 0.123 eV/atom
size of the total moment = 2.415 μB/atom
Fermi-level density of states = 1.22 states/eV/atom